1.
Below is crystalline Fe2Br at its relaxed geometry, with properties calculated at the PBE level.

Properties
Fermi-level density of states: 4.089 states/eV/cell
size of the total moment: 6.04 μB/f.u.
E_form (uncorrected): 5 kJ per mole of atoms
crystal system: monoclinic
space group: No. 12
calculated density: 5.2 g cm⁻³

a b c (Å): 3.9223 3.9223 9.1266
angles (deg): 89.55 89.55 60.29
With the nearest neighbours (Å) after each atom.
Fractional positions:
Fe 0.0038 0.0038 0.8534  4 Fe 2.48-2.68, 3 Br 2.74
Fe 0.9962 0.9962 0.1466  4 Fe 2.48-2.68, 3 Br 2.74
Fe 0.6676 0.6676 0.9651  6 Fe 2.36-2.49, 1 Br 2.55
Fe 0.3324 0.3324 0.0349  6 Fe 2.36-2.49, 1 Br 2.55
Br 0.6713 0.6713 0.6857  4 Fe 2.55-2.74
Br 0.3287 0.3287 0.3143  4 Fe 2.55-2.74

2.
Below is crystalline FeBr at its relaxed geometry, with properties calculated at the PBE level.

Properties
Fermi-level density of states: 10.036 states/eV/cell
size of the total moment: 3.03 μB/f.u.
E_form (uncorrected): 21 kJ per mole of atoms
crystal system: orthorhombic
space group: No. 59
calculated density: 5.0 g cm⁻³

a b c (Å): 3.4760 6.6793 11.5532
angles (deg): 90.00 90.00 90.00
With the nearest neighbours (Å) after each atom.
Fractional positions:
Fe 0.0000 0.4725 0.0000  4 Br 2.44-2.51
Fe 0.5000 0.5275 0.5000  4 Br 2.44-2.51
Fe 0.5000 0.9680 0.8193  2 Fe 2.40, 3 Br 2.52-2.61
Fe 0.5000 0.9680 0.1807  2 Fe 2.40, 3 Br 2.52-2.61
Fe 0.0000 0.0320 0.3193  2 Fe 2.40, 3 Br 2.52-2.61
Fe 0.0000 0.0320 0.6807  2 Fe 2.40, 3 Br 2.52-2.61
Br 0.0000 0.6962 0.8330  3 Fe 2.44-2.52
Br 0.5000 0.3038 0.6670  3 Fe 2.44-2.52
Br 0.0000 0.7983 0.5000  4 Fe 2.51-2.61
Br 0.5000 0.2017 0.0000  4 Fe 2.51-2.61
Br 0.5000 0.3038 0.3330  3 Fe 2.44-2.52
Br 0.0000 0.6962 0.1670  3 Fe 2.44-2.52

3.
Below is crystalline FeBr2 at its relaxed geometry, with properties calculated at the PBE level.

Properties
Fermi-level density of states: 21.862 states/eV/cell
size of the total moment: 4.06 μB/f.u.
E_form (uncorrected): 15 kJ per mole of atoms
crystal system: hexagonal
space group: No. 194
calculated density: 2.5 g cm⁻³

a b c (Å): 7.3858 7.3858 12.0416
angles (deg): 90.00 90.00 120.00
With the nearest neighbours (Å) after each atom.
Fractional positions:
Br 0.3303 0.1652 0.2500  2 Fe 2.43
Br 0.0000 0.0000 0.5000  6 Br 3.68
Br 0.0000 0.0000 0.0000  6 Br 3.68
Br 0.1652 0.8348 0.7500  2 Fe 2.43
Br 0.1652 0.3303 0.7500  2 Fe 2.43
Br 0.8348 0.6697 0.2500  2 Fe 2.43
Br 0.6697 0.8348 0.7500  2 Fe 2.43
Br 0.8348 0.1652 0.2500  2 Fe 2.43
Fe 0.3333 0.6667 0.6555  1 Fe 2.28, 3 Br 2.43
Fe 0.3333 0.6667 0.8445  1 Fe 2.28, 3 Br 2.43
Fe 0.6667 0.3333 0.3445  1 Fe 2.28, 3 Br 2.43
Fe 0.6667 0.3333 0.1555  1 Fe 2.28, 3 Br 2.43

4.
Below is crystalline GaFe2Br at its relaxed geometry, with properties calculated at the PBE level.

Properties
Fermi-level density of states: 3.753 states/eV/cell
size of the total moment: 4.02 μB/f.u.
E_form (uncorrected): 61 kJ per mole of atoms
crystal system: cubic
space group: No. 225
calculated density: 7.5 g cm⁻³

a b c (Å): 4.3343 4.3343 4.3343
angles (deg): 60.00 60.00 60.00
With the nearest neighbours (Å) after each atom.
Fractional positions:
Br 0.5000 0.5000 0.5000  8 Fe 2.65
Fe 0.2500 0.2500 0.2500  4 Br 2.65, 4 Ga 2.65
Fe 0.7500 0.7500 0.7500  4 Br 2.65, 4 Ga 2.65
Ga 0.0000 0.0000 0.0000  8 Fe 2.65

5.
Below is crystalline GaFeBr3 at its relaxed geometry, with properties calculated at the PBE level.

Properties
Fermi-level density of states: 4.751 states/eV/cell
size of the total moment: 4.00 μB/f.u.
E_form (uncorrected): -30 kJ per mole of atoms
crystal system: cubic
space group: No. 221
calculated density: 4.4 g cm⁻³

a b c (Å): 5.1802 5.1802 5.1802
angles (deg): 90.00 90.00 90.00
With the nearest neighbours (Å) after each atom.
Fractional positions:
Br 0.0000 0.0000 0.5000  2 Fe 2.59
Br 0.0000 0.5000 0.0000  2 Fe 2.59
Br 0.5000 0.0000 0.0000  2 Fe 2.59
Ga 0.5000 0.5000 0.5000  12 Br 3.66
Fe 0.0000 0.0000 0.0000  6 Br 2.59

6.
Below is crystalline GaFeBr3 at its relaxed geometry, with properties calculated at the PBE level.

Properties
Fermi-level density of states: 24.858 states/eV/cell
size of the total moment: 4.13 μB/f.u.
E_form (uncorrected): 25 kJ per mole of atoms
crystal system: cubic
space group: No. 221
calculated density: 4.1 g cm⁻³

a b c (Å): 5.3018 5.3018 5.3018
angles (deg): 90.00 90.00 90.00
With the nearest neighbours (Å) after each atom.
Fractional positions:
Br 0.0000 0.0000 0.5000  2 Ga 2.65
Br 0.5000 0.0000 0.0000  2 Ga 2.65
Br 0.0000 0.5000 0.0000  2 Ga 2.65
Ga 0.0000 0.0000 0.0000  6 Br 2.65
Fe 0.5000 0.5000 0.5000  12 Br 3.75

7.
Below is crystalline GaFe3Br at its relaxed geometry, with properties calculated at the PBE level.

Properties
Fermi-level density of states: 7.589 states/eV/cell
size of the total moment: 7.69 μB/f.u.
E_form (uncorrected): 107 kJ per mole of atoms
crystal system: cubic
space group: No. 221
calculated density: 5.6 g cm⁻³

a b c (Å): 4.5595 4.5595 4.5595
angles (deg): 90.00 90.00 90.00
With the nearest neighbours (Å) after each atom.
Fractional positions:
Fe 0.5000 0.0000 0.0000  2 Ga 2.28
Fe 0.0000 0.5000 0.0000  2 Ga 2.28
Fe 0.0000 0.0000 0.5000  2 Ga 2.28
Br 0.5000 0.5000 0.5000  12 Fe 3.22
Ga 0.0000 0.0000 0.0000  6 Fe 2.28

8.
Below is crystalline Ga3FeBr at its relaxed geometry, with properties calculated at the PBE level.

Properties
Fermi-level density of states: 6.136 states/eV/cell
size of the total moment: 0.60 μB/f.u.
E_form (uncorrected): -2 kJ per mole of atoms
crystal system: cubic
space group: No. 221
calculated density: 5.4 g cm⁻³

a b c (Å): 4.7293 4.7293 4.7293
angles (deg): 90.00 90.00 90.00
With the nearest neighbours (Å) after each atom.
Fractional positions:
Ga 0.0000 0.5000 0.0000  2 Fe 2.36
Ga 0.0000 0.0000 0.5000  2 Fe 2.36
Ga 0.5000 0.0000 0.0000  2 Fe 2.36
Fe 0.0000 0.0000 0.0000  6 Ga 2.36
Br 0.5000 0.5000 0.5000  12 Ga 3.34

9.
Below is crystalline Ga3FeBr at its relaxed geometry, with properties calculated at the PBE level.

Properties
Fermi-level density of states: 7.118 states/eV/cell
size of the total moment: 3.12 μB/f.u.
E_form (uncorrected): 102 kJ per mole of atoms
crystal system: cubic
space group: No. 221
calculated density: 4.0 g cm⁻³

a b c (Å): 5.2429 5.2429 5.2429
angles (deg): 90.00 90.00 90.00
With the nearest neighbours (Å) after each atom.
Fractional positions:
Fe 0.5000 0.5000 0.5000  12 Ga 3.71
Br 0.0000 0.0000 0.0000  6 Ga 2.62
Ga 0.5000 0.0000 0.0000  2 Br 2.62
Ga 0.0000 0.0000 0.5000  2 Br 2.62
Ga 0.0000 0.5000 0.0000  2 Br 2.62

10.
Below is crystalline GaFe2Br at its relaxed geometry, with properties calculated at the PBE level.

Properties
Fermi-level density of states: 10.178 states/eV/cell
size of the total moment: 5.98 μB/f.u.
E_form (uncorrected): 62 kJ per mole of atoms
crystal system: tetragonal
space group: No. 122
calculated density: 6.2 g cm⁻³

a b c (Å): 6.9455 6.9455 5.7135
angles (deg): 52.57 52.57 90.00
With the nearest neighbours (Å) after each atom.
Fractional positions:
Ga 0.5000 0.5000 0.0000  4 Fe 2.54
Ga 0.2500 0.7500 0.5000  4 Fe 2.54
Fe 0.3750 0.3788 0.7500  2 Ga 2.54, 2 Br 2.58
Fe 0.1288 0.6250 0.2500  2 Ga 2.54, 2 Br 2.58
Fe 0.8750 0.8712 0.7500  2 Ga 2.54, 2 Br 2.58
Fe 0.6212 0.1250 0.2500  2 Ga 2.54, 2 Br 2.58
Br 0.7500 0.2500 0.5000  4 Fe 2.58
Br 0.0000 0.0000 0.0000  4 Fe 2.58

11.
Below is crystalline GaFe3Br at its relaxed geometry, with properties calculated at the PBE level.

Properties
Fermi-level density of states: 3.147 states/eV/cell
size of the total moment: 6.14 μB/f.u.
E_form (uncorrected): 105 kJ per mole of atoms
crystal system: cubic
space group: No. 221
calculated density: 6.4 g cm⁻³

a b c (Å): 4.3480 4.3480 4.3480
angles (deg): 90.00 90.00 90.00
With the nearest neighbours (Å) after each atom.
Fractional positions:
Fe 0.0000 0.0000 0.5000  2 Br 2.17
Fe 0.5000 0.0000 0.0000  2 Br 2.17
Fe 0.0000 0.5000 0.0000  2 Br 2.17
Ga 0.5000 0.5000 0.5000  12 Fe 3.07
Br 0.0000 0.0000 0.0000  6 Fe 2.17

12.
Below is crystalline GaFe3Br9 at its relaxed geometry, with properties calculated at the PBE level.

Properties
Fermi-level density of states: 10.044 states/eV/cell
size of the total moment: 14.00 μB/f.u.
E_form (uncorrected): -45 kJ per mole of atoms
crystal system: monoclinic
space group: No. 9
calculated density: 3.2 g cm⁻³

a b c (Å): 9.7001 10.8315 11.5082
angles (deg): 77.29 65.07 63.40
With the nearest neighbours (Å) after each atom.
Fractional positions:
Br 0.3007 0.2229 0.3341  1 Fe 2.33
Br 0.2672 0.8696 0.0672  2 Fe 2.45-2.49
Br 0.9708 0.2493 0.1834  1 Fe 2.34
Br 0.6885 0.7471 0.0886  1 Fe 2.33
Br 0.8154 0.0571 0.0477  2 Fe 2.45-2.48
Br 0.8618 0.9405 0.3732  1 Fe 2.33
Br 0.4386 0.3457 0.9101  1 Fe 2.32
Br 0.0259 0.5850 0.2254  1 Fe 2.34
Br 0.5966 0.7493 0.6834  1 Fe 2.34
Br 0.3056 0.8457 0.4101  1 Fe 2.32
Br 0.7977 0.0078 0.7338  2 Fe 2.46-2.47
Br 0.7961 0.3696 0.5672  2 Fe 2.45-2.49
Br 0.4758 0.2471 0.5886  1 Fe 2.33
Br 0.1423 0.7229 0.8341  1 Fe 2.33
Br 0.8245 0.4405 0.8732  1 Fe 2.33
Br 0.4607 0.5078 0.2338  2 Fe 2.46-2.47
Br 0.0797 0.5571 0.5477  2 Fe 2.45-2.48
Br 0.1637 0.0850 0.7254  1 Fe 2.34
Fe 0.4249 0.7501 0.2114  4 Br 2.32-2.49
Fe 0.2068 0.4621 0.3346  4 Br 2.33-2.47
Fe 0.8137 0.5318 0.6728  4 Br 2.33-2.48
Fe 0.6136 0.2501 0.7114  4 Br 2.32-2.49
Fe 0.9965 0.9621 0.8346  4 Br 2.33-2.47
Fe 0.9817 0.0318 0.1728  4 Br 2.33-2.48
Ga 0.4826 0.9886 0.4954  6 Br 3.01-3.28
Ga 0.0334 0.4886 0.9954  6 Br 3.01-3.28

What is the formula in the second record? FeBr

What did the sixth record say?
Below is crystalline GaFeBr3 at its relaxed geometry, with properties calculated at the PBE level.

Properties
Fermi-level density of states: 24.858 states/eV/cell
size of the total moment: 4.13 μB/f.u.
E_form (uncorrected): 25 kJ per mole of atoms
crystal system: cubic
space group: No. 221
calculated density: 4.1 g cm⁻³

a b c (Å): 5.3018 5.3018 5.3018
angles (deg): 90.00 90.00 90.00
With the nearest neighbours (Å) after each atom.
Fractional positions:
Br 0.0000 0.0000 0.5000  2 Ga 2.65
Br 0.5000 0.0000 0.0000  2 Ga 2.65
Br 0.0000 0.5000 0.0000  2 Ga 2.65
Ga 0.0000 0.0000 0.0000  6 Br 2.65
Fe 0.5000 0.5000 0.5000  12 Br 3.75

What is the Fermi-level density of states in the second record? 10.036 states/eV/cell

size of the total moment of number 5 (GaFeBr3)? 4.00 μB/f.u.